Entry from the Alexandria database: a geometry-optimized TmNiGe structure (GGA-PBE).

As for the formation energy: -0.2877 eV per atom. The space group is I4mm (107). The value obtained for the total magnetization is 0.000 μB per atom. For the total energy, the calculation gives -5.244 eV per atom.

Cell: 3.694 3.694 4.871 Å, 112.28 112.28 90.00°
Sites, in units of the cell vectors:
Ge 0.609 0.609 0.218
Tm 0.942 0.942 0.884
Ni 0.299 0.299 0.598